Record 1
{"formula": "Ac5PaRh4", "functional": "PBE", "state": "optimized geometry", "formation_enthalpy_0k_ev_per_atom": -0.477, "dft_energy_ev_per_cell": -128.424, "total_magnetization_mub_per_cell": 0.000, "dos_at_fermi_per_ev_fu": 8.40, "density_g_cm3": 9.04, "crystal_system": "orthorhombic", "cell": [[8.6129, 0.0000, 0.0000], [0.0000, 10.0858, 0.0000], [0.0000, 0.0000, 7.5163]], "species": ["Ac", "Ac", "Ac", "Ac", "Ac", "Ac", "Ac", "Ac", "Ac", "Ac", "Pa", "Pa", "Rh", "Rh", "Rh", "Rh", "Rh", "Rh", "Rh", "Rh"], "fractional_positions": [[0.0157, 0.0556, 0.2338], [0.0157, 0.4444, 0.2338], [0.2500, 0.2500, 0.7165], [0.4843, 0.0556, 0.2338], [0.4843, 0.4444, 0.2338], [0.5157, 0.5556, 0.7662], [0.5157, 0.9444, 0.7662], [0.7500, 0.7500, 0.2835], [0.9843, 0.5556, 0.7662], [0.9843, 0.9444, 0.7662], [0.2500, 0.7500, 0.3693], [0.7500, 0.2500, 0.6307], [0.0781, 0.7500, 0.0952], [0.2500, 0.5157, 0.5123], [0.2500, 0.9843, 0.5123], [0.4219, 0.7500, 0.0952], [0.5781, 0.2500, 0.9048], [0.7500, 0.0157, 0.4877], [0.7500, 0.4843, 0.4877], [0.9219, 0.2500, 0.9048]]}

Record 2
{"formula": "AcPaRh2", "functional": "PBE", "state": "optimized geometry", "e_above_lowest_polymorph_mev_per_atom": 0, "formation_enthalpy_0k_ev_per_atom": -0.719, "dft_energy_ev_per_cell": -31.182, "total_magnetization_mub_per_cell": 0.000, "dos_at_fermi_per_ev_fu": 2.98, "density_g_cm3": 11.02, "crystal_system": "trigonal", "cell": [[2.0383, 1.1768, 6.9498], [-2.0383, 1.1768, 6.9498], [0.0000, -2.3536, 6.9498]], "species": ["Ac", "Pa", "Rh", "Rh"], "fractional_positions": [[0.0000, 0.0000, 0.0000], [0.5000, 0.5000, 0.5000], [0.2372, 0.2372, 0.2372], [0.7628, 0.7628, 0.7628]]}

Record 3
{"formula": "AcPa2Rh3", "functional": "PBE", "state": "optimized geometry", "formation_enthalpy_0k_ev_per_atom": -0.530, "dft_energy_ev_per_cell": -96.665, "total_magnetization_mub_per_cell": 0.000, "dos_at_fermi_per_ev_fu": 8.51, "density_g_cm3": 12.10, "crystal_system": "orthorhombic", "cell": [[2.7275, -4.7303, 0.0000], [2.7275, 4.7303, 0.0000], [0.0000, 0.0000, 10.6162]], "species": ["Ac", "Ac", "Pa", "Pa", "Pa", "Pa", "Rh", "Rh", "Rh", "Rh", "Rh", "Rh"], "fractional_positions": [[0.1672, 0.8328, 0.7500], [0.8328, 0.1672, 0.2500], [0.1660, 0.8340, 0.2500], [0.5000, 0.5000, 0.0000], [0.5000, 0.5000, 0.5000], [0.8340, 0.1660, 0.7500], [0.1666, 0.8334, 0.0259], [0.1666, 0.8334, 0.4741], [0.4996, 0.5004, 0.2500], [0.5004, 0.4996, 0.7500], [0.8334, 0.1666, 0.5259], [0.8334, 0.1666, 0.9741]]}

Record 4
{"formula": "AcPaRh2", "functional": "PBE", "state": "optimized geometry", "e_above_lowest_polymorph_mev_per_atom": 71, "formation_enthalpy_0k_ev_per_atom": -0.648, "dft_energy_ev_per_cell": -30.898, "total_magnetization_mub_per_cell": 0.000, "dos_at_fermi_per_ev_fu": 1.72, "density_g_cm3": 10.94, "crystal_system": "trigonal", "cell": [[1.9790, 1.1426, 7.4248], [-1.9790, 1.1426, 7.4248], [0.0000, -2.2851, 7.4248]], "species": ["Ac", "Pa", "Rh", "Rh"], "fractional_positions": [[0.0000, 0.0000, 0.0000], [0.8285, 0.8285, 0.8285], [0.2319, 0.2319, 0.2319], [0.4266, 0.4266, 0.4266]]}

Record 5
{"formula": "Ac12PaRh7", "functional": "PBE", "state": "optimized geometry", "formation_enthalpy_0k_ev_per_atom": -0.533, "dft_energy_ev_per_cell": -120.921, "total_magnetization_mub_per_cell": 0.000, "dos_at_fermi_per_ev_fu": 19.64, "density_g_cm3": 8.75, "crystal_system": "trigonal", "cell": [[7.8302, 4.5208, 3.2845], [-7.8302, 4.5208, 3.2845], [0.0000, -9.0416, 3.2845]], "species": ["Ac", "Ac", "Ac", "Ac", "Ac", "Ac", "Ac", "Ac", "Ac", "Ac", "Ac", "Ac", "Pa", "Rh", "Rh", "Rh", "Rh", "Rh", "Rh", "Rh"], "fractional_positions": [[0.0714, 0.3602, 0.1474], [0.1474, 0.0714, 0.3602], [0.1682, 0.7370, 0.5873], [0.2630, 0.4127, 0.8318], [0.3602, 0.1474, 0.0714], [0.4127, 0.8318, 0.2630], [0.5873, 0.1682, 0.7370], [0.6398, 0.8526, 0.9286], [0.7370, 0.5873, 0.1682], [0.8318, 0.2630, 0.4127], [0.8526, 0.9286, 0.6398], [0.9286, 0.6398, 0.8526], [0.5000, 0.5000, 0.5000], [0.0000, 0.0000, 0.0000], [0.2115, 0.4333, 0.5155], [0.4333, 0.5155, 0.2115], [0.4845, 0.7885, 0.5667], [0.5155, 0.2115, 0.4333], [0.5667, 0.4845, 0.7885], [0.7885, 0.5667, 0.4845]]}

Record 6
{"formula": "Ac2PaRh2S6", "functional": "PBE", "state": "optimized geometry", "dft_energy_ev_per_cell": -71.399, "total_magnetization_mub_per_cell": 0.000, "dos_at_fermi_per_ev_fu": 5.69, "density_g_cm3": 6.86, "crystal_system": "monoclinic", "cell": [[6.6327, -3.2109, 0.0000], [6.6327, 3.2109, 0.0000], [-4.0354, 0.0000, 6.1533]], "species": ["Ac", "Ac", "Pa", "Rh", "Rh", "S", "S", "S", "S", "S", "S"], "fractional_positions": [[0.2379, 0.2379, 0.2279], [0.7621, 0.7621, 0.7721], [0.0000, 0.0000, 0.5000], [0.4322, 0.4322, 0.7591], [0.5678, 0.5678, 0.2409], [0.1860, 0.6545, 0.1716], [0.2292, 0.2292, 0.6257], [0.3455, 0.8140, 0.8284], [0.6545, 0.1860, 0.1716], [0.7708, 0.7708, 0.3743], [0.8140, 0.3455, 0.8284]]}

Copy entry 5 word for word.
{"formula": "Ac12PaRh7", "functional": "PBE", "state": "optimized geometry", "formation_enthalpy_0k_ev_per_atom": -0.533, "dft_energy_ev_per_cell": -120.921, "total_magnetization_mub_per_cell": 0.000, "dos_at_fermi_per_ev_fu": 19.64, "density_g_cm3": 8.75, "crystal_system": "trigonal", "cell": [[7.8302, 4.5208, 3.2845], [-7.8302, 4.5208, 3.2845], [0.0000, -9.0416, 3.2845]], "species": ["Ac", "Ac", "Ac", "Ac", "Ac", "Ac", "Ac", "Ac", "Ac", "Ac", "Ac", "Ac", "Pa", "Rh", "Rh", "Rh", "Rh", "Rh", "Rh", "Rh"], "fractional_positions": [[0.0714, 0.3602, 0.1474], [0.1474, 0.0714, 0.3602], [0.1682, 0.7370, 0.5873], [0.2630, 0.4127, 0.8318], [0.3602, 0.1474, 0.0714], [0.4127, 0.8318, 0.2630], [0.5873, 0.1682, 0.7370], [0.6398, 0.8526, 0.9286], [0.7370, 0.5873, 0.1682], [0.8318, 0.2630, 0.4127], [0.8526, 0.9286, 0.6398], [0.9286, 0.6398, 0.8526], [0.5000, 0.5000, 0.5000], [0.0000, 0.0000, 0.0000], [0.2115, 0.4333, 0.5155], [0.4333, 0.5155, 0.2115], [0.4845, 0.7885, 0.5667], [0.5155, 0.2115, 0.4333], [0.5667, 0.4845, 0.7885], [0.7885, 0.5667, 0.4845]]}

Q: Which formula does entry 4 have?
A: AcPaRh2

Q: What is the formula in the sixth record?
A: Ac2PaRh2S6